No. 1
First-principles (PBEsol) data for a geometry-optimized ZrScTc4 structure, as listed in Alexandria via LeMat-Bulk.

abc: 5.1896 5.1896 5.1896
angles: 60.00 60.00 60.00
With the nearest neighbours (Å) after each atom.
Positions (direct):
Zr (0.0000, 0.0000, 0.0000)  12 Tc 3.04, 4 Sc 3.18
Sc (0.2500, 0.2500, 0.2500)  12 Tc 3.04, 4 Zr 3.18
Tc (0.1250, 0.6250, 0.6250)  6 Tc 2.59
Tc (0.6250, 0.1250, 0.6250)  6 Tc 2.59
Tc (0.6250, 0.6250, 0.1250)  6 Tc 2.59
Tc (0.6250, 0.6250, 0.6250)  6 Tc 2.59

formation energy: -0.269 eV/atom

No. 2
First-principles (PBEsol) data for a geometry-optimized Li3OsW structure, as listed in Alexandria via LeMat-Bulk.

abc: 4.3759 4.3759 4.3759
angles: 90.00 90.00 90.00
With the nearest neighbours (Å) after each atom.
Positions (direct):
Li (0.0000, 0.0000, 0.5000)  2 W 2.19
Li (0.0000, 0.5000, 0.0000)  2 W 2.19
Li (0.5000, 0.0000, 0.0000)  2 W 2.19
Os (0.5000, 0.5000, 0.5000)  12 Li 3.09
W (0.0000, 0.0000, 0.0000)  6 Li 2.19

formation energy: 2.538 eV/atom

No. 3
First-principles (PBEsol) data for a geometry-optimized Te2IrPt2 structure, as listed in Alexandria via LeMat-Bulk.

abc: 5.0272 5.0272 4.7848
angles: 90.00 90.00 90.00
With the nearest neighbours (Å) after each atom.
Positions (direct):
Te (0.0000, 0.5000, 0.0000)  2 Ir 2.51
Te (0.5000, 0.0000, 0.0000)  2 Ir 2.51
Ir (0.0000, 0.0000, 0.0000)  2 Pt 2.39, 4 Te 2.51
Pt (0.0000, 0.0000, 0.5000)  2 Ir 2.39
Pt (0.5000, 0.5000, 0.5000)  8 Te 3.47, 4 Pt 3.55

formation energy without anion corrections: 1.211 eV/atom

No. 4
First-principles (PBEsol) data for a geometry-optimized CuBi12Ir3 structure, as listed in Alexandria via LeMat-Bulk.

abc: 8.8847 4.2101 11.3967
angles: 90.00 90.53 90.00
With the nearest neighbours (Å) after each atom.
Positions (direct):
Cu (0.0000, 0.0000, 0.0000)  2 Ir 2.71, 7 Bi 2.78-2.94
Bi (0.0100, 0.5000, 0.1646)  1 Ir 2.80, 2 Cu 2.82
Bi (0.1906, 0.0000, 0.3747)  1 Ir 2.77
Bi (0.2001, 0.0000, 0.7962)  2 Ir 2.83, 1 Cu 2.94
Bi (0.3092, 0.0000, 0.0929)  2 Ir 2.80, 1 Cu 2.94
Bi (0.3802, 0.5000, 0.5866)  3 Ir 2.76-2.93
Bi (0.4885, 0.5000, 0.8905)  1 Ir 2.82
Bi (0.5016, 0.5000, 0.2933)  3 Ir 2.80-2.88
Bi (0.6779, 0.0000, 0.6613)  3 Ir 2.80-2.90
Bi (0.7000, 0.0000, 0.0667)  1 Cu 2.78
Bi (0.7945, 0.0000, 0.3650)  3 Ir 2.78-2.94
Bi (0.8986, 0.5000, 0.8589)  1 Ir 2.79, 2 Cu 2.79
Bi (0.9835, 0.5000, 0.5771)  1 Ir 2.75
Ir (0.1852, 0.5000, 0.9615)  2 Cu 2.71, 7 Bi 2.79-2.83
Ir (0.4856, 0.0000, 0.4546)  7 Bi 2.76-2.94, 2 Ir 2.82
Ir (0.6895, 0.5000, 0.5002)  7 Bi 2.75-2.93, 2 Ir 2.82

formation energy: -0.003 eV/atom

No. 5
First-principles (PBEsol) data for a geometry-optimized BaNbSn3 structure, as listed in Alexandria via LeMat-Bulk.

abc: 5.8076 5.8076 5.8076
angles: 90.00 90.00 90.00
With the nearest neighbours (Å) after each atom.
Positions (direct):
Ba (0.0000, 0.0000, 0.0000)  6 Sn 2.90
Nb (0.5000, 0.5000, 0.5000)  12 Sn 4.11
Sn (0.0000, 0.0000, 0.5000)  2 Ba 2.90
Sn (0.0000, 0.5000, 0.0000)  2 Ba 2.90
Sn (0.5000, 0.0000, 0.0000)  2 Ba 2.90

formation energy: 1.805 eV/atom

No. 6
First-principles (PBEsol) data for a geometry-optimized BaScAg structure, as listed in Alexandria via LeMat-Bulk.

abc: 4.9047 4.9047 4.3974
angles: 90.00 90.00 120.00
With the nearest neighbours (Å) after each atom.
Positions (direct):
Ba (0.0000, 0.0000, 0.0000)  6 Sc 3.59, 6 Ag 3.59
Sc (0.3333, 0.6667, 0.5000)  3 Ag 2.83
Ag (0.6667, 0.3333, 0.5000)  3 Sc 2.83

formation energy: 0.147 eV/atom

No. 7
First-principles (PBEsol) data for a geometry-optimized Cr3IrPt structure, as listed in Alexandria via LeMat-Bulk.

abc: 4.5504 4.5504 4.5504
angles: 90.00 90.00 90.00
With the nearest neighbours (Å) after each atom.
Positions (direct):
Cr (0.0000, 0.0000, 0.5000)  2 Ir 2.28
Cr (0.0000, 0.5000, 0.0000)  2 Ir 2.28
Cr (0.5000, 0.0000, 0.0000)  2 Ir 2.28
Ir (0.0000, 0.0000, 0.0000)  6 Cr 2.28
Pt (0.5000, 0.5000, 0.5000)  12 Cr 3.22

formation energy: 1.442 eV/atom

No. 8
First-principles (PBEsol) data for a geometry-optimized TeIrPt2 structure, as listed in Alexandria via LeMat-Bulk.

abc: 3.4449 3.4449 5.6229
angles: 90.00 90.00 90.00
With the nearest neighbours (Å) after each atom.
Positions (direct):
Te (0.0000, 0.0000, 0.0000)  6 Pt 2.73-2.93, 4 Ir 2.78
Ir (0.5000, 0.5000, 0.2390)  6 Pt 2.66-2.96, 4 Te 2.78
Pt (0.0000, 0.0000, 0.4859)  2 Te 2.73-2.89, 4 Pt 2.75, 4 Ir 2.80
Pt (0.5000, 0.5000, 0.7118)  2 Ir 2.66-2.96, 4 Pt 2.75, 4 Te 2.93

formation energy without anion corrections: 0.242 eV/atom

What are the theoretical density values for these records? In order: 8.87; 7.83; 11.50; 12.26; 4.97; 5.26; 9.57; 17.67 g cm⁻³.